Version 1
An optimized crystal structure of Fe5O2F8. Source: Alexandria, functional GGA+U.

a b c (Å): 4.8147 7.8570 10.1283
angles (deg): 70.40 88.32 88.83
Closest atoms and distances in Å follow each position.
Positions (direct):
Fe  0.5100  0.7025  0.8947  1 O 2.04, 5 F 2.06-2.12
Fe  0.4868  0.8941  0.3007  2 O 1.89-1.93, 4 F 2.03-2.10
Fe  0.5132  0.1059  0.6993  2 O 1.89-1.93, 4 F 2.03-2.10
Fe  0.4900  0.2975  0.1053  1 O 2.04, 5 F 2.06-2.12
Fe  0.5000  0.5000  0.5000  2 O 1.89, 2 F 2.10
Fe  0.0298  0.3994  0.7912  5 F 2.06-2.17, 1 O 2.07
Fe  0.9685  0.8137  0.6118  1 O 1.88, 5 F 2.06-2.10
Fe  0.0315  0.1863  0.3882  1 O 1.88, 5 F 2.06-2.10
Fe  0.9702  0.6006  0.2088  5 F 2.06-2.17, 1 O 2.07
Fe  0.0000  0.0000  0.0000  6 F 2.02-2.12
O  0.3347  0.3384  0.6654  3 Fe 1.89-2.07
O  0.3115  0.1187  0.2818  3 Fe 1.88-2.04
O  0.6885  0.8813  0.7182  3 Fe 1.88-2.04
O  0.6653  0.6616  0.3346  3 Fe 1.89-2.07
F  0.2058  0.2402  0.9775  3 Fe 2.07-2.09
F  0.2067  0.0434  0.5807  3 Fe 2.09-2.10
F  0.2003  0.4323  0.3806  3 Fe 2.09-2.12
F  0.1944  0.6461  0.7756  3 Fe 2.06-2.11
F  0.1923  0.8316  0.1850  3 Fe 2.03-2.12
F  0.3065  0.9515  0.8758  3 Fe 2.02-2.12
F  0.2977  0.5436  0.0774  3 Fe 2.06-2.17
F  0.2777  0.7433  0.4875  3 Fe 2.10-2.14
F  0.7223  0.2567  0.5125  3 Fe 2.10-2.14
F  0.6935  0.0485  0.1242  3 Fe 2.02-2.12
F  0.7023  0.4564  0.9226  3 Fe 2.06-2.17
F  0.7997  0.5677  0.6194  3 Fe 2.09-2.12
F  0.7933  0.9566  0.4193  3 Fe 2.09-2.10
F  0.8077  0.1684  0.8150  3 Fe 2.03-2.12
F  0.7942  0.7598  0.0225  3 Fe 2.07-2.09
F  0.8056  0.3539  0.2244  3 Fe 2.06-2.11

Computed properties:
V (Å³ per atom): 12.0
SG: P-1

---

Version 2
An optimized crystal structure of Fe5O2F8. Source: Alexandria, functional GGA+U.

a b c (Å): 4.7852 4.7834 16.1942
angles (deg): 90.00 89.30 90.00
Closest atoms and distances in Å follow each position.
Positions (direct):
Fe  0.0000  0.0000  0.0000  2 F 2.05, 2 O 2.09
Fe  0.9944  0.0073  0.1929  1 O 1.82, 2 F 2.01-2.04
Fe  0.9741  0.9700  0.3989  1 O 2.00, 5 F 2.10-2.22
Fe  0.0259  0.0300  0.6011  1 O 2.00, 5 F 2.10-2.22
Fe  0.0056  0.9927  0.8071  1 O 1.82, 2 F 2.01-2.04
Fe  0.5259  0.4700  0.1011  1 O 2.00, 5 F 2.10-2.22
Fe  0.5000  0.5000  0.5000  2 F 2.05, 2 O 2.09
Fe  0.5056  0.5073  0.3071  1 O 1.82, 2 F 2.01-2.04
Fe  0.4944  0.4927  0.6929  1 O 1.82, 2 F 2.01-2.04
Fe  0.4741  0.5300  0.8989  1 O 2.00, 5 F 2.10-2.22
O  0.1771  0.8220  0.8936  2 Fe 1.82-2.00
O  0.3229  0.3220  0.6064  2 Fe 1.82-2.00
O  0.6771  0.6780  0.3936  2 Fe 1.82-2.00
O  0.8229  0.1780  0.1064  2 Fe 1.82-2.00
F  0.2173  0.7819  0.1109  2 Fe 2.01-2.10
F  0.1937  0.7901  0.2895  3 Fe 2.04-2.22
F  0.1969  0.8026  0.4999  3 Fe 2.05-2.12
F  0.2055  0.8097  0.7088  3 Fe 2.04-2.22
F  0.3031  0.3026  0.0001  3 Fe 2.05-2.12
F  0.3063  0.2901  0.2105  3 Fe 2.04-2.22
F  0.2827  0.2819  0.3891  2 Fe 2.01-2.10
F  0.2945  0.3097  0.7912  3 Fe 2.04-2.22
F  0.6969  0.6974  0.9999  3 Fe 2.05-2.12
F  0.7055  0.6903  0.2088  3 Fe 2.04-2.22
F  0.7173  0.7181  0.6109  2 Fe 2.01-2.10
F  0.6937  0.7099  0.7895  3 Fe 2.04-2.22
F  0.8031  0.1974  0.5001  3 Fe 2.05-2.12
F  0.7945  0.1903  0.2912  3 Fe 2.04-2.22
F  0.7827  0.2181  0.8891  2 Fe 2.01-2.10
F  0.8063  0.2099  0.7105  3 Fe 2.04-2.22

Computed properties:
V (Å³ per atom): 12.4
SG: P2_1/c

---

Version 3
An optimized crystal structure of Fe5O2F8. Source: Alexandria, functional GGA+U.

a b c (Å): 4.7990 7.9966 10.0823
angles (deg): 107.52 90.00 90.00
Closest atoms and distances in Å follow each position.
Positions (direct):
Fe  0.4621  0.3085  0.8883  2 O 1.85-1.93, 1 F 2.06
Fe  0.5194  0.0991  0.2943  1 O 1.87, 5 F 2.01-2.06
Fe  0.4966  0.9189  0.7014  1 O 2.03, 5 F 2.06-2.22
Fe  0.4848  0.6877  0.0905  5 F 2.03-2.19, 1 O 2.07
Fe  0.5232  0.5059  0.4981  1 O 1.97, 3 F 2.10-2.20
Fe  0.0194  0.6009  0.8057  1 O 1.87, 5 F 2.01-2.06
Fe  0.0232  0.1941  0.6019  1 O 1.97, 3 F 2.10-2.20
Fe  0.9966  0.7811  0.3986  1 O 2.03, 5 F 2.06-2.22
Fe  0.9621  0.3915  0.2117  2 O 1.85-1.93, 1 F 2.06
Fe  0.9848  0.0123  0.0095  5 F 2.03-2.19, 1 O 2.07
O  0.8014  0.5476  0.3674  3 Fe 1.85-2.03
O  0.7919  0.1661  0.1881  3 Fe 1.87-2.07
O  0.3014  0.1524  0.7326  3 Fe 1.85-2.03
O  0.2919  0.5339  0.9119  3 Fe 1.87-2.07
F  0.8052  0.7539  0.9756  3 Fe 2.06-2.17
F  0.8183  0.9542  0.5773  3 Fe 2.06-2.10
F  0.7910  0.3794  0.7776  3 Fe 2.03-2.23
F  0.7018  0.0864  0.8879  3 Fe 2.03-2.19
F  0.7145  0.6713  0.6917  3 Fe 2.04-2.22
F  0.7090  0.4440  0.0636  3 Fe 2.06-2.17
F  0.6896  0.8630  0.2736  3 Fe 2.01-2.19
F  0.6913  0.2405  0.4787  3 Fe 2.04-2.22
F  0.3183  0.7458  0.5227  3 Fe 2.06-2.10
F  0.2910  0.3206  0.3224  3 Fe 2.03-2.23
F  0.3052  0.9461  0.1244  3 Fe 2.06-2.17
F  0.1913  0.4595  0.6213  3 Fe 2.04-2.22
F  0.2145  0.0287  0.4083  3 Fe 2.04-2.22
F  0.1896  0.8370  0.8264  3 Fe 2.01-2.19
F  0.2090  0.2560  0.0364  3 Fe 2.06-2.17
F  0.2018  0.6136  0.2121  3 Fe 2.03-2.19

Computed properties:
V (Å³ per atom): 12.3
SG: P2_1

---

Version 4
An optimized crystal structure of Fe5O2F8. Source: Alexandria, functional GGA+U.

a b c (Å): 4.7889 7.9945 10.7009
angles (deg): 63.76 90.00 90.00
Closest atoms and distances in Å follow each position.
Positions (direct):
Fe  0.5267  0.8847  0.9044  1 O 2.01, 5 F 2.13-2.17
Fe  0.5000  0.5000  0.5000  2 O 1.91, 4 F 2.08-2.10
Fe  0.4733  0.1153  0.0956  1 O 2.01, 5 F 2.13-2.17
Fe  0.5133  0.7093  0.6821  1 O 1.94, 5 F 2.01-2.15
Fe  0.4867  0.2907  0.3179  1 O 1.94, 5 F 2.01-2.15
Fe  0.0000  0.5000  0.0000  2 O 1.91, 4 F 2.08-2.10
Fe  0.9867  0.7093  0.1821  1 O 1.94, 5 F 2.01-2.15
Fe  0.9733  0.8847  0.4044  1 O 2.01, 5 F 2.13-2.17
Fe  0.0267  0.1153  0.5956  1 O 2.01, 5 F 2.13-2.17
Fe  0.0133  0.2907  0.8179  1 O 1.94, 5 F 2.01-2.15
O  0.8238  0.7029  0.0180  3 Fe 1.91-2.01
O  0.6762  0.7029  0.5180  3 Fe 1.91-2.01
O  0.3238  0.2971  0.4820  3 Fe 1.91-2.01
O  0.1762  0.2971  0.9820  3 Fe 1.91-2.01
F  0.7893  0.5197  0.8239  3 Fe 2.08-2.15
F  0.7957  0.9221  0.2083  3 Fe 2.06-2.16
F  0.8061  0.1214  0.4198  3 Fe 2.01-2.14
F  0.8012  0.3206  0.6369  3 Fe 2.10-2.17
F  0.6939  0.1214  0.9198  3 Fe 2.01-2.14
F  0.6988  0.3206  0.1369  3 Fe 2.10-2.17
F  0.7043  0.9221  0.7083  3 Fe 2.06-2.16
F  0.7107  0.5197  0.3239  3 Fe 2.08-2.15
F  0.3061  0.8786  0.0802  3 Fe 2.01-2.14
F  0.2957  0.0779  0.2917  3 Fe 2.06-2.16
F  0.2893  0.4803  0.6761  3 Fe 2.08-2.15
F  0.3012  0.6794  0.8631  3 Fe 2.10-2.17
F  0.2107  0.4803  0.1761  3 Fe 2.08-2.15
F  0.1988  0.6794  0.3631  3 Fe 2.10-2.17
F  0.2043  0.0779  0.7917  3 Fe 2.06-2.16
F  0.1939  0.8786  0.5802  3 Fe 2.01-2.14

Computed properties:
V (Å³ per atom): 12.2
SG: P2_1/c

---

What should be chosen as the most stable of them? Choose version 3.

---

Version 1
An optimized crystal structure of Fe5O2F8. Source: Alexandria, functional GGA+U.

a b c (Å): 4.7775 5.6958 13.7898
angles (deg): 101.12 90.38 90.30
Closest atoms and distances in Å follow each position.
Positions (direct):
Fe  0.5000  0.5000  0.0000  2 O 1.97, 4 F 2.07
Fe  0.5198  0.3003  0.4001  1 O 2.00, 5 F 2.12-2.18
Fe  0.5243  0.9110  0.2067  5 F 2.05-2.22, 1 O 2.06
Fe  0.4802  0.6997  0.5999  1 O 2.00, 5 F 2.12-2.18
Fe  0.4757  0.0890  0.7933  5 F 2.05-2.22, 1 O 2.06
Fe  0.9798  0.8196  0.3927  1 O 1.83, 2 F 1.97-2.03
Fe  0.9617  0.5944  0.8143  4 F 2.01-2.17, 1 O 2.08
Fe  0.0383  0.4056  0.1857  4 F 2.01-2.17, 1 O 2.08
Fe  0.0202  0.1804  0.6073  1 O 1.83, 2 F 1.97-2.03
Fe  0.0000  0.0000  0.0000  2 O 1.98, 4 F 2.01-2.08
O  0.2129  0.2992  0.0465  3 Fe 1.97-2.08
O  0.2901  0.0077  0.6558  2 Fe 1.83-2.00
O  0.7099  0.9923  0.3442  2 Fe 1.83-2.00
O  0.7871  0.7008  0.9535  3 Fe 1.97-2.08
F  0.2009  0.7405  0.2654  3 Fe 2.03-2.15
F  0.1919  0.9237  0.8686  3 Fe 2.01-2.17
F  0.1781  0.4993  0.6626  2 Fe 1.97-2.12
F  0.1857  0.1229  0.4664  3 Fe 2.07-2.18
F  0.2940  0.8088  0.0646  3 Fe 2.07-2.22
F  0.2961  0.6206  0.4523  3 Fe 2.12-2.18
F  0.3075  0.4314  0.8624  3 Fe 2.07-2.16
F  0.3091  0.2382  0.2608  3 Fe 2.01-2.14
F  0.6909  0.7618  0.7392  3 Fe 2.01-2.14
F  0.6925  0.5686  0.1376  3 Fe 2.07-2.16
F  0.7060  0.1912  0.9354  3 Fe 2.07-2.22
F  0.7039  0.3794  0.5477  3 Fe 2.12-2.18
F  0.8081  0.0763  0.1314  3 Fe 2.01-2.17
F  0.8143  0.8771  0.5336  3 Fe 2.07-2.18
F  0.8219  0.5007  0.3374  2 Fe 1.97-2.12
F  0.7991  0.2595  0.7346  3 Fe 2.03-2.15

Computed properties:
V (Å³ per atom): 12.3
SG: P-1

---

Version 2
An optimized crystal structure of Fe5O2F8. Source: Alexandria, functional GGA+U.

a b c (Å): 4.7708 5.7165 13.4572
angles (deg): 78.29 89.31 89.61
Closest atoms and distances in Å follow each position.
Positions (direct):
Fe  0.5021  0.4885  0.0017  2 O 1.91-1.99, 4 F 2.01-2.08
Fe  0.4949  0.7267  0.3924  1 O 1.89, 5 F 1.99-2.04
Fe  0.4903  0.1079  0.2027  2 O 1.89-1.90, 4 F 1.97-2.10
Fe  0.5019  0.3193  0.6034  1 O 1.97, 4 F 2.06-2.19
Fe  0.5050  0.8789  0.8033  5 F 2.04-2.21, 1 O 2.09
Fe  0.0217  0.1957  0.3966  1 O 2.03, 5 F 2.06-2.16
Fe  0.9451  0.4122  0.7914  2 O 1.87-1.93, 3 F 2.05-2.07
Fe  0.0317  0.5793  0.1956  1 O 1.97, 5 F 2.07-2.19
Fe  0.9839  0.7989  0.6017  1 O 1.99, 5 F 2.05-2.14
Fe  0.0042  0.9993  0.0020  6 F 2.01-2.13
O  0.7943  0.4921  0.6611  3 Fe 1.87-1.99
O  0.6975  0.5601  0.8749  3 Fe 1.91-2.09
O  0.3174  0.0160  0.3324  3 Fe 1.89-2.03
O  0.3188  0.3955  0.1372  3 Fe 1.89-1.99
F  0.7970  0.2703  0.2580  3 Fe 1.97-2.13
F  0.7987  0.0820  0.8606  3 Fe 2.05-2.12
F  0.8008  0.6728  0.0639  3 Fe 2.06-2.12
F  0.8000  0.8884  0.4545  3 Fe 2.01-2.14
F  0.6986  0.1704  0.0673  3 Fe 2.03-2.08
F  0.6987  0.4135  0.4463  3 Fe 2.04-2.27
F  0.6831  0.9929  0.6597  3 Fe 2.05-2.08
F  0.7067  0.7860  0.2566  3 Fe 2.04-2.19
F  0.2775  0.2179  0.7483  3 Fe 2.07-2.21
F  0.3053  0.8027  0.9525  3 Fe 2.01-2.18
F  0.3084  0.6403  0.5279  3 Fe 1.99-2.12
F  0.2228  0.9160  0.1421  3 Fe 1.98-2.13
F  0.2011  0.3188  0.9389  2 Fe 2.02-2.08
F  0.1933  0.1247  0.5420  3 Fe 2.09-2.13
F  0.2134  0.5197  0.3391  3 Fe 2.03-2.09
F  0.1858  0.7134  0.7457  3 Fe 2.04-2.14

Computed properties:
V (Å³ per atom): 12.0
SG: P1

---

What should be chosen as the most stable of them? Choose version 1.